[1]
Here is TbHoTe after structural relaxation from the Alexandria database. Energies are from PBE.

Unit cell a=5.1496 b=5.1496 c=3.9800 alpha=90.00 beta=90.00 gamma=120.00
Space group P3m1 (No. 156)
Symmetry-distinct sites (fractional):
Tb1 0.0000 0.0000 0.0000
Ho1 0.6667 0.3333 0.4911
Te1 0.3333 0.6667 0.2640

For the uncorrected formation energy, the calculation gives -0.48 eV/atom.

---

[2]
Here is NaTaZn2O after structural relaxation from the Alexandria database. Energies are from PBE.

Unit cell a=4.365 b=4.365 c=4.170 alpha=90.00 beta=90.00 gamma=90.00
Space group P4/mmm (No. 123)
Symmetry-distinct sites (fractional):
Na1 0.000 0.000 0.000
Ta1 0.500 0.500 0.000
Zn1 0.000 0.500 0.500
O1 0.000 0.000 0.500

For the uncorrected formation energy, the calculation gives 0.39 eV/atom.